Here is a geometry-optimized TbGe2Pd5 structure from Alexandria. Energies are from PBE-GGA.

The space group is Immm (No. 71) and the conventional cell measures 3.8502, 7.2872 and 9.9346 Å, with angles of 90.00, 90.00 and 90.00 degrees. Symmetry generates all atoms from Tb at (0.0000, 0.0000, 0.0000), Ge at (0.0000, 0.5000, 0.2500), Pd at (0.0000, 0.1980, 0.3557) and Pd at (0.0000, 0.5000, 0.0000).

Its formation energy from the elements is -0.657 eV/atom. The electronic total energy comes out at -5.64 eV/atom.